# NdInRh | Alexandria | PBE | relaxed
# DFT formation energy   -496 meV per atom
# Crystal system   tetragonal
data_NdInRh
_cell_length_a 3.4406
_cell_length_b 3.4406
_cell_length_c 11.4560
_cell_angle_alpha 90.00
_cell_angle_beta 90.00
_cell_angle_gamma 90.00
_symmetry_space_group_name_H-M 'I 4 m m'
_symmetry_Int_Tables_number 107
_symmetry_space_group_name_Hall 'I 4 -2'
loop_
_atom_site_label
_atom_site_fract_x
_atom_site_fract_y
_atom_site_fract_z
Nd1 0.0000 0.0000 0.0000
In1 0.0000 0.0000 0.7143
Rh1 0.0000 0.0000 0.3410



# Nd4In5Rh2 | Alexandria | PBE | relaxed
# DFT formation energy   -562 meV per atom
# Crystal system   monoclinic
data_Nd4In5Rh2
_cell_length_a 7.8251
_cell_length_b 3.7724
_cell_length_c 9.7969
_cell_angle_alpha 90.00
_cell_angle_beta 93.84
_cell_angle_gamma 90.00
_symmetry_space_group_name_H-M 'P 1 2/m 1'
_symmetry_Int_Tables_number 10
_symmetry_space_group_name_Hall '-P 2y'
loop_
_atom_site_label
_atom_site_fract_x
_atom_site_fract_y
_atom_site_fract_z
Nd1 0.1731 0.0000 0.3521
Nd2 0.2227 0.0000 0.9433
In1 0.1797 0.5000 0.6532
In2 0.4502 0.5000 0.1777
In3 0.5000 0.5000 0.5000
Rh1 0.0743 0.5000 0.1412